Density functional theory data (SCAN) for a PBEsol-optimized structure of YTl2Si.

## Properties
- formation energy (no corrections) (eV per atom) = 0.127
- M_tot (Bohr magnetons per cell) = 0.0
- SG = Fm-3m (225)

Lattice parameters (Å, degrees): 5.146 5.146 5.146 60.00 60.00 60.00
Element x y z (fractional)
Y (0.000, 0.000, 0.000)
Tl (0.250, 0.250, 0.250)
Tl (0.750, 0.750, 0.750)
Si (0.500, 0.500, 0.500)

Density functional theory data (SCAN) for a PBEsol-optimized structure of KTl3.

## Properties
- ΔH_f (0 K) (eV per atom) = -0.11
- M_tot (Bohr magnetons per cell) = 0.0
- SG = Pmm2 (25)

Lattice parameters (Å, degrees): 3.387 5.400 6.694 90.00 90.00 90.00
Element x y z (fractional)
K (0.000, 0.000, 0.000)
Tl (0.000, 0.500, 0.321)
Tl (0.500, 0.000, 0.505)
Tl (0.500, 0.500, 0.761)

Density functional theory data (SCAN) for a PBEsol-optimized structure of Be2CrTc.

## Properties
- ΔH_f (0 K) (eV per atom) = 0.05
- M_tot (Bohr magnetons per cell) = 0.0
- SG = Cmmm (65)

Lattice parameters (Å, degrees): 2.451 2.451 7.271 90.00 90.00 102.34
Element x y z (fractional)
Be (0.000, 0.000, 0.242)
Be (0.000, 0.000, 0.758)
Cr (0.500, 0.500, 0.000)
Tc (0.500, 0.500, 0.500)

Density functional theory data (SCAN) for a PBEsol-optimized structure of NiPtPb.

## Properties
- ΔH_f (0 K) (eV per atom) = 0.21
- M_tot (Bohr magnetons per cell) = 0.0
- SG = I4mm (107)

Lattice parameters (Å, degrees): 4.770 4.770 4.770 137.18 137.18 62.16
Element x y z (fractional)
Ni (0.000, 0.000, 0.000)
Pt (0.654, 0.654, 0.000)
Pb (0.326, 0.326, 0.000)